SrLi2Ge3: relaxed, PBE.

a b c (Å): 5.6582 6.7023 6.7023
angles (deg): 101.13 90.00 90.00
Sites, in units of the cell vectors:
Sr  0.2500  0.3255  0.3255
Sr  0.7500  0.6745  0.6745
Li  0.5000  0.7819  0.2181
Li  0.0000  0.7819  0.2181
Li  0.0000  0.2181  0.7819
Li  0.5000  0.2181  0.7819
Ge  0.7500  0.4561  0.0791
Ge  0.7500  0.0791  0.4561
Ge  0.2500  0.5439  0.9209
Ge  0.7500  0.0642  0.0642
Ge  0.2500  0.9358  0.9358
Ge  0.2500  0.9209  0.5439

## Properties
The calculation puts the formation energy at -0.35 eV/atom. As for the density of states at the Fermi level: 0.459 states/eV/atom.

***

PuIBrF: relaxed, PBE.

a b c (Å): 4.1739 4.1739 8.3776
angles (deg): 90.02 104.40 120.00
Site moments in Bohr magnetons follow the coordinates.
Sites, in units of the cell vectors:
Pu  0.8334  0.2813  0.1147  5.05
I  0.3518  0.0407  0.3925  -0.07
Br  0.0061  0.8674  0.8735  -0.04
F  0.5008  0.6150  0.1159  -0.02

## Properties
The calculation puts the formation energy (no corrections) at -2.075 eV per atom. As for the density of states at the Fermi level: 2.476 states/eV/atom.

***

ZnNiAu2: relaxed, PBE.

a b c (Å): 8.9593 8.9593 8.9593
angles (deg): 18.38 18.38 18.38
Sites, in units of the cell vectors:
Au  0.0060  0.0060  0.0060
Au  0.2424  0.2424  0.2424
Ni  0.4946  0.4946  0.4946
Zn  0.7570  0.7570  0.7570

## Properties
The calculation puts the formation energy at -0.01 eV/atom. As for the density of states at the Fermi level: 0.660 states/eV/atom.

***

Al2CuO4: relaxed, PBE.

a b c (Å): 5.7696 5.7696 5.7696
angles (deg): 60.00 60.00 60.00
Site moments in Bohr magnetons follow the coordinates.
Sites, in units of the cell vectors:
Al  0.1250  0.1250  0.1250  0.00
Al  0.6250  0.1250  0.1250  0.00
Al  0.1250  0.1250  0.6250  0.00
Al  0.1250  0.6250  0.1250  0.00
Cu  0.5000  0.5000  0.5000  0.63
Cu  0.7500  0.7500  0.7500  0.63
O  0.8896  0.3311  0.8896  0.08
O  0.3604  0.3604  0.9189  0.08
O  0.3604  0.3604  0.3604  0.08
O  0.9189  0.3604  0.3604  0.08
O  0.8896  0.8896  0.8896  0.08
O  0.3311  0.8896  0.8896  0.08
O  0.3604  0.9189  0.3604  0.08
O  0.8896  0.8896  0.3311  0.08

## Properties
The calculation puts the formation energy (no corrections) at -2.255 eV per atom. As for the density of states at the Fermi level: 0.766 states/eV/atom.

***

NdGe2IrPd2: relaxed, PBE.

a b c (Å): 3.9620 3.9620 9.8474
angles (deg): 101.61 101.61 90.00
Sites, in units of the cell vectors:
Nd  0.5000  0.5000  0.0000
Ge  0.3326  0.3326  0.6652
Ge  0.6674  0.6674  0.3348
Ir  0.0000  0.0000  0.0000
Pd  0.2500  0.7500  0.5000
Pd  0.7500  0.2500  0.5000

## Properties
The calculation puts the formation energy at 0.04 eV/atom. As for the density of states at the Fermi level: 0.762 states/eV/atom.

***

Rb2Ge2Pb: relaxed, PBE.

a b c (Å): 7.6540 7.6540 5.9112
angles (deg): 90.00 90.00 90.00
Sites, in units of the cell vectors:
Pb  0.0000  0.0000  0.0000
Pb  0.5000  0.5000  0.0000
Ge  0.3885  0.8885  0.0000
Ge  0.8885  0.6115  0.0000
Ge  0.6115  0.1115  0.0000
Ge  0.1115  0.3885  0.0000
Rb  0.1896  0.6896  0.5000
Rb  0.6896  0.8104  0.5000
Rb  0.8104  0.3104  0.5000
Rb  0.3104  0.1896  0.5000

## Properties
The calculation puts the formation energy at 0.00 eV/atom. As for the density of states at the Fermi level: 0.489 states/eV/atom.

***

SrSb3Cl: relaxed, PBE.

a b c (Å): 5.4341 5.4341 5.4341
angles (deg): 90.00 90.00 90.00
Sites, in units of the cell vectors:
Sb  0.0000  0.5000  0.0000
Sb  0.0000  0.0000  0.5000
Sb  0.5000  0.0000  0.0000
Cl  0.0000  0.0000  0.0000
Sr  0.5000  0.5000  0.5000

## Properties
The calculation puts the formation energy (no corrections) at 0.035 eV per atom. As for the density of states at the Fermi level: 0.737 states/eV/atom.

***

MgCu3Au: relaxed, PBE.

a b c (Å): 4.7567 4.7567 4.7567
angles (deg): 90.00 90.00 90.00
Sites, in units of the cell vectors:
Mg  0.5000  0.5000  0.5000
Au  0.0000  0.0000  0.0000
Cu  0.0000  0.5000  0.0000
Cu  0.0000  0.0000  0.5000
Cu  0.5000  0.0000  0.0000

## Properties
The calculation puts the formation energy at 0.61 eV/atom. As for the density of states at the Fermi level: 0.375 states/eV/atom.

***

TbMg2AlPt4: relaxed, PBE.

a b c (Å): 4.5061 4.5061 8.3275
angles (deg): 74.30 74.30 60.00
Sites, in units of the cell vectors:
Tb  0.0000  0.0000  0.0000
Mg  0.7539  0.7539  0.7382
Mg  0.2461  0.2461  0.2618
Al  0.5000  0.5000  0.5000
Pt  0.3945  0.3945  0.8166
Pt  0.8687  0.8687  0.3940
Pt  0.1313  0.1313  0.6060
Pt  0.6055  0.6055  0.1834

## Properties
The calculation puts the formation energy at -0.97 eV/atom. As for the density of states at the Fermi level: 0.453 states/eV/atom.

***

Cd2InSn: relaxed, PBE.

a b c (Å): 4.6893 4.6397 4.6397
angles (deg): 90.00 90.00 90.00
Sites, in units of the cell vectors:
Cd  0.0000  0.0000  0.5000
Cd  0.0000  0.5000  0.0000
Sn  0.5000  0.0000  0.0000
In  0.5000  0.5000  0.5000

## Properties
The calculation puts the formation energy at 0.05 eV/atom. As for the density of states at the Fermi level: 0.281 states/eV/atom.

***

YSbBr2: relaxed, PBE.

a b c (Å): 11.5086 11.5086 11.5086
angles (deg): 18.25 18.25 18.25
Sites, in units of the cell vectors:
Y  0.5000  0.5000  0.5000
Sb  0.0000  0.0000  0.0000
Br  0.8898  0.8898  0.8898
Br  0.1102  0.1102  0.1102

## Properties
The calculation puts the formation energy (no corrections) at -0.868 eV per atom. As for the density of states at the Fermi level: 0.786 states/eV/atom.

***

Ce2SmTm3S6: relaxed, PBE.

a b c (Å): 3.8942 7.9503 8.8377
angles (deg): 104.32 102.73 90.00
Site moments in Bohr magnetons follow the coordinates.
Sites, in units of the cell vectors:
Ce  0.8326  0.6651  0.6652  0.74
Ce  0.1674  0.3349  0.3348  0.74
Sm  0.5000  0.0000  0.0000  0.03
Tm  0.5000  0.5000  0.0000  0.01
Tm  0.8335  0.1681  0.6670  0.00
Tm  0.1665  0.8319  0.3330  0.00
S  0.3300  0.9272  0.6601  -0.01
S  0.6622  0.5932  0.3245  -0.01
S  0.6700  0.0728  0.3399  -0.01
S  0.9964  0.2586  0.9927  0.00
S  0.0036  0.7414  0.0073  0.00
S  0.3378  0.4068  0.6755  -0.01

## Properties
The calculation puts the formation energy (no corrections) at -1.998 eV per atom. As for the density of states at the Fermi level: 1.049 states/eV/atom.